Computed, not measured: crystalline Na2Mg5Cd12 at its relaxed geometry at the PBE level of DFT.

Summary:
Volume ... 23.98 Å³ per atom
Energy relative to the elements ... -0.065 eV per atom
SG ... R-3m, No. 166

abc: 7.763 7.763 7.763
angles: 82.12 82.12 82.12
Sites, in units of the cell vectors:
Na 0.160 0.160 0.160
Na 0.840 0.840 0.840
Mg 0.000 0.500 0.500
Mg 0.398 0.398 0.398
Mg 0.500 0.000 0.500
Mg 0.500 0.500 0.000
Mg 0.602 0.602 0.602
Cd 0.146 0.146 0.646
Cd 0.146 0.646 0.146
Cd 0.204 0.500 0.796
Cd 0.204 0.796 0.500
Cd 0.354 0.854 0.854
Cd 0.500 0.204 0.796
Cd 0.500 0.796 0.204
Cd 0.646 0.146 0.146
Cd 0.796 0.204 0.500
Cd 0.796 0.500 0.204
Cd 0.854 0.354 0.854
Cd 0.854 0.854 0.354